A crystal of YAl2Co relaxed with PBEsol, computed with meta-GGA SCAN.

The structure belongs to space group Cmcm (No. 63); the cell edges are 3.021, 15.037 and 6.005 Å and the angles 90.00°, 90.00° and 90.00°. Symmetry generates all atoms from Y at (0.000, 0.238, 0.250), Al at (0.000, 0.412, 0.517) and Co at (0.000, 0.010, 0.750).

The density of states at the Fermi level comes out at 0.511 states/eV/atom. Its crystal system is orthorhombic. The calculation puts the total energy at -15.5114 eV per atom. The calculated formation energy is -0.349 eV per atom.



A crystal of LiCa2Tl relaxed with PBEsol, computed with meta-GGA SCAN.

The structure belongs to space group Amm2 (No. 38); the cell edges are 5.079, 3.849 and 11.925 Å and the angles 90.00°, 90.00° and 90.00°. Symmetry generates all atoms from Li at (0.000, 0.000, 0.000), Ca at (0.000, 0.000, 0.290), Ca at (0.500, 0.000, 0.592) and Tl at (0.500, 0.000, 0.870).

The density of states at the Fermi level comes out at 0.737 states/eV/atom. Its crystal system is orthorhombic. The calculation puts the total energy at -23.8598 eV per atom. The energy above the lowest structure with this stoichiometry is 1.97 kcal/mol of atoms. The calculated formation energy is -0.341 eV per atom.



Repeat the second record exactly.
A crystal of LiCa2Tl relaxed with PBEsol, computed with meta-GGA SCAN.

The structure belongs to space group Amm2 (No. 38); the cell edges are 5.079, 3.849 and 11.925 Å and the angles 90.00°, 90.00° and 90.00°. Symmetry generates all atoms from Li at (0.000, 0.000, 0.000), Ca at (0.000, 0.000, 0.290), Ca at (0.500, 0.000, 0.592) and Tl at (0.500, 0.000, 0.870).

The density of states at the Fermi level comes out at 0.737 states/eV/atom. Its crystal system is orthorhombic. The calculation puts the total energy at -23.8598 eV per atom. The energy above the lowest structure with this stoichiometry is 1.97 kcal/mol of atoms. The calculated formation energy is -0.341 eV per atom.



Among the records above, which one has the lowest calculated formation energy?
YAl2Co



Among the records above, which one has the lowest calculated formation energy?
YAl2Co